{
  "formula": "NaCBr3",
  "functional": "GGA-PBE",
  "state": "relaxed",
  "space_group": "Pm-3m, No. 221",
  "dos_at_fermi_per_ev_atom": 0.11,
  "m_tot_mub_per_cell": 0.000,
  "e_above_lowest_polymorph_mev_per_atom": 0.0,
  "final_energy_ev_per_cell": -13.70,
  "formation_energy_uncorrected_ev_per_atom": 0.37,
  "lattice": [[4.894, 0.000, 0.000], [0.000, 4.894, 0.000], [0.000, 0.000, 4.894]],
  "species": ["Na", "C", "Br", "Br", "Br"],
  "frac_coords": [[0.000, 0.000, 0.000], [0.500, 0.500, 0.500], [0.000, 0.500, 0.500], [0.500, 0.000, 0.500], [0.500, 0.500, 0.000]]
}


{
  "formula": "TbPm4ErSe8",
  "functional": "GGA-PBE",
  "state": "relaxed",
  "space_group": "R3m, No. 160",
  "dos_at_fermi_per_ev_atom": 0.62,
  "m_tot_mub_per_cell": 0.001,
  "final_energy_ev_per_cell": -80.22,
  "formation_energy_uncorrected_ev_per_atom": -1.73,
  "lattice": [[4.284, 2.473, 6.983], [-4.284, 2.473, 6.983], [0.000, -4.947, 6.983]],
  "species": ["Tb", "Pm", "Pm", "Pm", "Pm", "Er", "Se", "Se", "Se", "Se", "Se", "Se", "Se", "Se"],
  "frac_coords": [[0.000, 0.000, 0.000], [0.000, 0.000, 0.505], [0.000, 0.505, 0.000], [0.377, 0.377, 0.377], [0.505, 0.000, 0.000], [0.626, 0.626, 0.626], [0.237, 0.759, 0.759], [0.239, 0.239, 0.778], [0.239, 0.778, 0.239], [0.244, 0.244, 0.244], [0.754, 0.754, 0.754], [0.759, 0.237, 0.759], [0.759, 0.759, 0.237], [0.778, 0.239, 0.239]]
}


{
  "formula": "Cu2AgPt2",
  "functional": "GGA-PBE",
  "state": "relaxed",
  "space_group": "I4/mmm, No. 139",
  "dos_at_fermi_per_ev_atom": 0.49,
  "m_tot_mub_per_cell": 0.000,
  "e_above_lowest_polymorph_mev_per_atom": 198.4,
  "final_energy_ev_per_cell": -22.08,
  "ef_ev_per_atom": 0.210,
  "lattice": [[-1.776, 1.776, 6.367], [1.776, -1.776, 6.367], [1.776, 1.776, -6.367]],
  "species": ["Cu", "Cu", "Ag", "Pt", "Pt"],
  "frac_coords": [[0.250, 0.750, 0.500], [0.750, 0.250, 0.500], [0.000, 0.000, 0.000], [0.394, 0.394, 0.000], [0.606, 0.606, 0.000]]
}


{
  "formula": "P2PtCS",
  "functional": "GGA-PBE",
  "state": "relaxed",
  "space_group": "P4/mmm, No. 123",
  "dos_at_fermi_per_ev_atom": 0.40,
  "m_tot_mub_per_cell": 0.000,
  "e_above_lowest_polymorph_mev_per_atom": 0.0,
  "final_energy_ev_per_cell": -24.87,
  "formation_energy_uncorrected_ev_per_atom": 1.07,
  "lattice": [[3.951, 0.000, 0.000], [0.000, 3.951, 0.000], [0.000, 0.000, 4.184]],
  "species": ["P", "P", "Pt", "C", "S"],
  "frac_coords": [[0.000, 0.500, 0.000], [0.500, 0.000, 0.000], [0.000, 0.000, 0.500], [0.500, 0.500, 0.000], [0.500, 0.500, 0.500]]
}


{
  "formula": "NaLiAc",
  "functional": "GGA-PBE",
  "state": "relaxed",
  "space_group": "P-1, No. 2",
  "dos_at_fermi_per_ev_atom": 0.81,
  "m_tot_mub_per_cell": 0.001,
  "e_above_lowest_polymorph_mev_per_atom": 0.0,
  "final_energy_ev_per_cell": -13.94,
  "ef_ev_per_atom": 0.124,
  "lattice": [[3.798, 0.000, 0.000], [0.002, 5.820, 0.000], [1.836, 2.823, 9.457]],
  "species": ["Na", "Na", "Li", "Li", "Ac", "Ac"],
  "frac_coords": [[0.160, 0.286, 0.425], [0.840, 0.714, 0.575], [0.198, 0.441, 0.102], [0.802, 0.559, 0.898], [0.331, 0.095, 0.820], [0.669, 0.905, 0.180]]
}


{
  "formula": "CsNiRu",
  "functional": "GGA-PBE",
  "state": "relaxed",
  "space_group": "I4mm, No. 107",
  "dos_at_fermi_per_ev_atom": 1.17,
  "m_tot_mub_per_cell": 1.944,
  "e_above_lowest_polymorph_mev_per_atom": 377.0,
  "final_energy_ev_per_cell": -13.10,
  "ef_ev_per_atom": 0.937,
  "lattice": [[-1.699, 1.699, 6.358], [1.699, -1.699, 6.358], [1.699, 1.699, -6.358]],
  "species": ["Cs", "Ni", "Ru"],
  "frac_coords": [[0.000, 0.000, 0.000], [0.729, 0.729, 0.000], [0.266, 0.266, 0.000]]
}


{
  "formula": "Ba3TbW2N6",
  "functional": "GGA-PBE",
  "state": "relaxed",
  "space_group": "P-3m1, No. 164",
  "dos_at_fermi_per_ev_atom": 0.32,
  "m_tot_mub_per_cell": 0.001,
  "final_energy_ev_per_cell": -96.56,
  "formation_energy_uncorrected_ev_per_atom": -0.86,
  "lattice": [[6.272, 0.000, 0.000], [-3.136, 5.432, 0.000], [0.000, 0.000, 7.456]],
  "species": ["Ba", "Ba", "Ba", "Tb", "W", "W", "N", "N", "N", "N", "N", "N"],
  "frac_coords": [[0.000, 0.000, 0.000], [0.333, 0.667, 0.682], [0.667, 0.333, 0.318], [0.000, 0.000, 0.500], [0.333, 0.667, 0.223], [0.667, 0.333, 0.777], [0.172, 0.344, 0.298], [0.172, 0.828, 0.298], [0.344, 0.172, 0.702], [0.656, 0.828, 0.298], [0.828, 0.172, 0.702], [0.828, 0.656, 0.702]]
}